No. 1
# CaPm6Cd5 GGA-PBE relaxed
data_CaPm6Cd5
_symmetry_space_group_name_H-M 'I m m m'
_symmetry_Int_Tables_number 71
_symmetry_space_group_name_Hall '-I 2 2'
_cell_length_a 5.473
_cell_length_b 7.722
_cell_length_c 16.529
_cell_angle_alpha 90.00
_cell_angle_beta 90.00
_cell_angle_gamma 90.00
loop_
_atom_site_label
_atom_site_type_symbol
_atom_site_fract_x
_atom_site_fract_y
_atom_site_fract_z
Ca1 Ca 0.000 0.000 0.000
Pm1 Pm 0.000 0.229 0.500
Pm2 Pm 0.000 0.258 0.173
Cd1 Cd 0.000 0.000 0.332
Cd2 Cd 0.000 0.500 0.000
Cd3 Cd 0.000 0.500 0.346
# Crystal system = orthorhombic
# Electronic total energy = -37.9 eV per formula unit
# Total magnetic moment = 0.001 μB per atom
# Calculated formation energy = -22.84 kJ/mol of atoms

---

No. 2
# Ca6PmCd2 GGA-PBE relaxed
data_Ca6PmCd2
_symmetry_space_group_name_H-M 'C 1 2/m 1'
_symmetry_Int_Tables_number 12
_cell_length_a 13.488
_cell_length_b 3.878
_cell_length_c 12.878
_cell_angle_alpha 90.00
_cell_angle_beta 109.60
_cell_angle_gamma 90.00
loop_
_symmetry_equiv_pos_as_xyz
'x,y,z'
'-x,-y,-z'
'-x,y,-z'
'x,-y,z'
'x+1/2,y+1/2,z'
'-x+1/2,-y+1/2,-z'
'-x+1/2,y+1/2,-z'
'x+1/2,-y+1/2,z'
loop_
_atom_site_label
_atom_site_type_symbol
_atom_site_fract_x
_atom_site_fract_y
_atom_site_fract_z
Ca1 Ca 0.038 0.000 0.321
Ca2 Ca 0.175 0.500 0.591
Ca3 Ca 0.180 0.500 0.880
Pm1 Pm 0.000 0.000 0.000
Cd1 Cd 0.160 0.500 0.197
# Crystal system = monoclinic
# Electronic total energy = -19.7 eV per formula unit
# Total magnetic moment = 0.024 μB per atom
# Calculated formation energy = -11.44 kJ/mol of atoms

---

No. 3
# CaPm3Cd3 GGA-PBE relaxed
data_CaPm3Cd3
_symmetry_space_group_name_H-M 'C m m m'
_symmetry_Int_Tables_number 65
_symmetry_space_group_name_Hall '-C 2 2'
_cell_length_a 10.708
_cell_length_b 11.021
_cell_length_c 7.269
_cell_angle_alpha 90.00
_cell_angle_beta 90.00
_cell_angle_gamma 90.00
loop_
_atom_site_label
_atom_site_type_symbol
_atom_site_fract_x
_atom_site_fract_y
_atom_site_fract_z
Ca1 Ca 0.214 0.000 0.000
Pm1 Pm 0.000 0.224 0.500
Pm2 Pm 0.000 0.276 0.000
Pm3 Pm 0.243 0.000 0.500
Cd1 Cd 0.000 0.500 0.276
Cd2 Cd 0.250 0.250 0.252
# Crystal system = orthorhombic
# Electronic total energy = -20.3 eV per formula unit
# Total magnetic moment = 0.000 μB per atom
# Calculated formation energy = -17.70 kJ/mol of atoms

---

No. 4
# CaPmCd17 GGA-PBE relaxed
data_CaPmCd17
_symmetry_space_group_name_H-M 'R 3 m'
_symmetry_Int_Tables_number 160
_symmetry_space_group_name_Hall 'R 3 -2"'
_cell_length_a 10.1306
_cell_length_b 10.1306
_cell_length_c 15.0512
_cell_angle_alpha 90.00
_cell_angle_beta 90.00
_cell_angle_gamma 120.00
loop_
_atom_site_label
_atom_site_type_symbol
_atom_site_fract_x
_atom_site_fract_y
_atom_site_fract_z
Ca1 Ca 0.0000 0.0000 0.0000
Pm1 Pm 0.0000 0.0000 0.6633
Cd1 Cd 0.0000 0.0000 0.2386
Cd2 Cd 0.0000 0.0000 0.4371
Cd3 Cd 0.0004 0.3027 0.3340
Cd4 Cd 0.0112 0.5056 0.1878
Cd5 Cd 0.0206 0.5103 0.8306
Cd6 Cd 0.0430 0.5215 0.4852
# Crystal system = trigonal
# Electronic total energy = -24.9 eV per formula unit
# Total magnetic moment = 0.000 μB per atom
# Calculated formation energy = -13.30 kJ/mol of atoms